Entry 1:
Below is a relaxed PtWBr3 crystal, with properties calculated at the GGA-PBE level.

Cell and atoms, written as CIF:
```
data_PtWBr3
_chemical_formula_sum 'Pt1 W1 Br3'
_cell_length_a 5.008
_cell_length_b 5.008
_cell_length_c 5.008
_cell_angle_alpha 90.00
_cell_angle_beta 90.00
_cell_angle_gamma 90.00
_space_group_name_H-M_alt 'P m -3 m'
_space_group_IT_number 221
_space_group_name_Hall '-P 4 2 3'
loop_
_atom_site_label
_atom_site_fract_x
_atom_site_fract_y
_atom_site_fract_z
_atom_site_occupancy
Pt1 0.000 0.000 0.000 1
W1 0.500 0.500 0.500 1
Br1 0.000 0.500 0.500 1
```

Summary:
Volume   125.61 Å³/cell
DOS(E_F)   7.0 states/eV/f.u.
Magnetic moment   0.0 μB per formula unit
Total DFT energy (no corrections)   -18.8 eV for the cell shown

***

Entry 2:
Below is a relaxed PtWBr2 crystal, with properties calculated at the GGA-PBE level.

Cell and atoms, written as CIF:
```
data_PtWBr2
_chemical_formula_sum 'Pt4 W4 Br8'
_cell_length_a 5.657
_cell_length_b 5.657
_cell_length_c 12.255
_cell_angle_alpha 90.00
_cell_angle_beta 90.00
_cell_angle_gamma 90.00
_space_group_name_H-M_alt 'I -4 2 d'
_space_group_IT_number 122
_space_group_name_Hall 'I -4 2bw'
loop_
_atom_site_label
_atom_site_fract_x
_atom_site_fract_y
_atom_site_fract_z
_atom_site_occupancy
Pt1 0.000 0.000 0.000 1
W1 0.000 0.000 0.500 1
Br1 0.233 0.250 0.625 1
```

Summary:
Volume   392.18 Å³/cell
DOS(E_F)   3.3 states/eV/f.u.
Magnetic moment   0.0 μB per formula unit
Total DFT energy (no corrections)   -68.7 eV for the cell shown

***

Entry 3:
Below is a relaxed Pt2WBr crystal, with properties calculated at the GGA-PBE level.

Cell and atoms, written as CIF:
```
data_Pt2WBr
_chemical_formula_sum 'Pt4 W2 Br2'
_cell_length_a 4.134
_cell_length_b 4.134
_cell_length_c 7.960
_cell_angle_alpha 90.00
_cell_angle_beta 90.00
_cell_angle_gamma 90.00
_space_group_name_H-M_alt 'I 4/m m m'
_space_group_IT_number 139
_space_group_name_Hall '-I 4 2'
loop_
_atom_site_label
_atom_site_fract_x
_atom_site_fract_y
_atom_site_fract_z
_atom_site_occupancy
Pt1 0.000 0.500 0.250 1
W1 0.000 0.000 0.000 1
Br1 0.000 0.000 0.500 1
```

Summary:
Volume   136.07 Å³/cell
DOS(E_F)   4.9 states/eV/f.u.
Magnetic moment   0.0 μB per formula unit
Total DFT energy (no corrections)   -46.7 eV for the cell shown

***

Entry 4:
Below is a relaxed Pt2WBr crystal, with properties calculated at the GGA-PBE level.

Cell and atoms, written as CIF:
```
data_Pt2WBr
_chemical_formula_sum 'Pt2 W1 Br1'
_cell_length_a 2.901
_cell_length_b 4.758
_cell_length_c 4.888
_cell_angle_alpha 90.00
_cell_angle_beta 90.00
_cell_angle_gamma 90.00
_space_group_name_H-M_alt 'P m m m'
_space_group_IT_number 47
loop_
_space_group_symop_operation_xyz
'x,y,z'
'-x,-y,-z'
'-x,-y,z'
'x,y,-z'
'x,-y,-z'
'-x,y,z'
'-x,y,-z'
'x,-y,z'
loop_
_atom_site_label
_atom_site_fract_x
_atom_site_fract_y
_atom_site_fract_z
_atom_site_occupancy
Pt1 0.000 0.000 0.000 1
Pt2 0.500 0.500 0.000 1
W1 0.000 0.500 0.500 1
Br1 0.500 0.000 0.500 1
```

Summary:
Volume   67.47 Å³/cell
DOS(E_F)   5.0 states/eV/f.u.
Magnetic moment   0.0 μB per formula unit
Total DFT energy (no corrections)   -23.6 eV for the cell shown

***

Entry 5:
Below is a relaxed Pt2WBr crystal, with properties calculated at the GGA-PBE level.

Cell and atoms, written as CIF:
```
data_Pt2WBr
_chemical_formula_sum 'Pt4 W2 Br2'
_cell_length_a 2.895
_cell_length_b 4.981
_cell_length_c 9.977
_cell_angle_alpha 90.00
_cell_angle_beta 90.00
_cell_angle_gamma 90.00
_space_group_name_H-M_alt 'C m m 2'
_space_group_IT_number 35
loop_
_space_group_symop_operation_xyz
'x,y,z'
'-x,-y,z'
'-x,y,z'
'x,-y,z'
'x+1/2,y+1/2,z'
'-x+1/2,-y+1/2,z'
'-x+1/2,y+1/2,z'
'x+1/2,-y+1/2,z'
loop_
_atom_site_label
_atom_site_fract_x
_atom_site_fract_y
_atom_site_fract_z
_atom_site_occupancy
Pt1 0.000 0.000 0.000 1
Pt2 0.000 0.500 0.242 1
W1 0.000 0.000 0.464 1
Br1 0.000 0.500 0.692 1
```

Summary:
Volume   143.88 Å³/cell
DOS(E_F)   3.5 states/eV/f.u.
Magnetic moment   0.0 μB per formula unit
Total DFT energy (no corrections)   -49.2 eV for the cell shown

***

Entry 6:
Below is a relaxed PtWBr crystal, with properties calculated at the GGA-PBE level.

Cell and atoms, written as CIF:
```
data_PtWBr
_chemical_formula_sum 'Pt1 W1 Br1'
_cell_length_a 4.4762
_cell_length_b 4.4762
_cell_length_c 2.9570
_cell_angle_alpha 90.00
_cell_angle_beta 90.00
_cell_angle_gamma 120.00
_space_group_name_H-M_alt 'P -6 m 2'
_space_group_IT_number 187
_space_group_name_Hall 'P -6 2'
loop_
_atom_site_label
_atom_site_fract_x
_atom_site_fract_y
_atom_site_fract_z
_atom_site_occupancy
Pt1 0.0000 0.0000 0.0000 1
W1 0.3333 0.6667 0.5000 1
Br1 0.6667 0.3333 0.5000 1
```

Summary:
Volume   51.31 Å³/cell
DOS(E_F)   3.9 states/eV/f.u.
Magnetic moment   0.0 μB per formula unit
Total DFT energy (no corrections)   -18.1 eV for the cell shown

***

Entry 7:
Below is a relaxed Pt2WBr crystal, with properties calculated at the GGA-PBE level.

Cell and atoms, written as CIF:
```
data_Pt2WBr
_chemical_formula_sum 'Pt6 W3 Br3'
_cell_length_a 2.8924
_cell_length_b 2.8924
_cell_length_c 29.4035
_cell_angle_alpha 90.00
_cell_angle_beta 90.00
_cell_angle_gamma 120.00
_space_group_name_H-M_alt 'R -3 m'
_space_group_IT_number 166
_space_group_name_Hall '-R 3 2"'
loop_
_atom_site_label
_atom_site_fract_x
_atom_site_fract_y
_atom_site_fract_z
_atom_site_occupancy
Pt1 0.0000 0.0000 0.2402 1
W1 0.0000 0.0000 0.5000 1
Br1 0.0000 0.0000 0.0000 1
```

Summary:
Volume   213.03 Å³/cell
DOS(E_F)   4.4 states/eV/f.u.
Magnetic moment   0.0 μB per formula unit
Total DFT energy (no corrections)   -77.5 eV for the cell shown

***

Entry 8:
Below is a relaxed PtWBr2 crystal, with properties calculated at the GGA-PBE level.

Cell and atoms, written as CIF:
```
data_PtWBr2
_chemical_formula_sum 'Pt2 W2 Br4'
_cell_length_a 6.008
_cell_length_b 9.027
_cell_length_c 3.104
_cell_angle_alpha 90.00
_cell_angle_beta 115.26
_cell_angle_gamma 90.00
_space_group_name_H-M_alt 'C 1 2/m 1'
_space_group_IT_number 12
loop_
_space_group_symop_operation_xyz
'x,y,z'
'-x,-y,-z'
'-x,y,-z'
'x,-y,z'
'x+1/2,y+1/2,z'
'-x+1/2,-y+1/2,-z'
'-x+1/2,y+1/2,-z'
'x+1/2,-y+1/2,z'
loop_
_atom_site_label
_atom_site_fract_x
_atom_site_fract_y
_atom_site_fract_z
_atom_site_occupancy
Pt1 0.000 0.000 0.000 1
W1 0.000 0.500 0.000 1
Br1 0.250 0.250 0.000 1
```

Summary:
Volume   152.25 Å³/cell
DOS(E_F)   3.6 states/eV/f.u.
Magnetic moment   1.0 μB per formula unit
Total DFT energy (no corrections)   -36.7 eV for the cell shown